(1)
A geometry-optimized RbBe2H2 structure. Source: Alexandria, functional PBE.

Calculated values
Energy = -3.020 eV/atom
Density = 2.15 Mg/m³
Space-group type = No. 2

Cell: 4.1080 6.2526 6.5932 Å, 105.66 91.17 91.72°
With the nearest neighbours (Å) after each atom.
Fractional coordinates of all 10 atoms:
Rb1 0.1665 0.1923 0.3087  4 H 2.83-3.16
Rb2 0.8335 0.8077 0.6913  4 H 2.83-3.16
Be1 0.1282 0.3862 0.8683  2 H 1.50-1.51
Be2 0.3978 0.6260 0.1426  2 H 1.51-1.52
Be3 0.6022 0.3740 0.8574  2 H 1.51-1.52
Be4 0.8718 0.6138 0.1317  2 H 1.50-1.51
H1 0.3502 0.2001 0.8763  2 Be 1.51
H2 0.3585 0.4512 0.7191  2 Be 1.50-1.52
H3 0.6415 0.5488 0.2809  2 Be 1.50-1.52
H4 0.6498 0.7999 0.1237  2 Be 1.51

=====

(2)
A geometry-optimized YCrAu2 structure. Source: Alexandria, functional PBE.

Calculated values
Energy = -5.976 eV/atom
E_form = -0.32 eV/atom
Density = 11.08 Mg/m³
Space-group type = No. 123

Cell: 4.5830 4.5830 3.8177 Å, 90.00 90.00 90.00°
With the nearest neighbours (Å) after each atom.
Fractional coordinates of all 4 atoms:
Y1 0.0000 0.0000 0.0000  8 Au 2.98, 4 Cr 3.24
Cr1 0.5000 0.5000 0.0000  8 Au 2.98, 4 Y 3.24
Au1 0.0000 0.5000 0.5000  4 Cr 2.98, 4 Y 2.98, 4 Au 3.24
Au2 0.5000 0.0000 0.5000  4 Cr 2.98, 4 Y 2.98, 4 Au 3.24

=====

(3)
A geometry-optimized CoHPt2Au structure. Source: Alexandria, functional PBE.

Calculated values
Energy = -5.056 eV/atom
Density = 16.88 Mg/m³
Space-group type = No. 123

Cell: 3.9871 3.9871 4.0034 Å, 90.00 90.00 90.00°
With the nearest neighbours (Å) after each atom.
Fractional coordinates of all 5 atoms:
Co1 0.0000 0.0000 0.0000  2 H 2.00
H1 0.0000 0.0000 0.5000  4 Pt 1.99, 2 Co 2.00
Pt1 0.0000 0.5000 0.5000  2 H 1.99
Pt2 0.5000 0.0000 0.5000  2 H 1.99
Au1 0.5000 0.5000 0.0000  4 Co 2.82, 8 Pt 2.83

=====

(4)
A geometry-optimized KYTe structure. Source: Alexandria, functional PBE.

Calculated values
ΔE_f (raw) = -0.653 eV per atom
Energy = -4.221 eV/atom
Density = 3.65 Mg/m³
Space-group type = No. 107

Cell: 8.0328 8.0328 8.0328 Å, 151.70 151.70 40.46°
With the nearest neighbours (Å) after each atom.
Fractional coordinates of all 3 atoms:
K1 0.0000 0.0000 0.0000  4 Te 3.85, 4 K 3.93, 1 Y 4.08
Y1 0.2709 0.2709 0.0000  4 Te 3.12
Te1 0.6764 0.6764 0.0000  4 Y 3.12

=====

(5)
A geometry-optimized Hg2IrPt structure. Source: Alexandria, functional PBE.

Calculated values
Energy = -3.504 eV/atom
E_form = 0.37 eV/atom
Density = 17.87 Mg/m³
Space-group type = No. 6

Cell: 2.9804 4.5688 5.5761 Å, 90.00 105.27 90.00°
With the nearest neighbours (Å) after each atom.
Fractional coordinates of all 4 atoms:
Hg1 0.0000 0.0000 0.0000  3 Pt 2.88-2.91, 4 Ir 2.89, 2 Hg 2.98
Hg2 0.3187 0.5000 0.6501  3 Ir 2.83-2.95, 4 Pt 2.90, 2 Hg 2.98
Ir1 0.5872 0.5000 0.1768  2 Pt 2.76, 7 Hg 2.83-2.95, 2 Ir 2.98
Pt1 0.7277 0.0000 0.4648  2 Ir 2.76, 7 Hg 2.88-2.91, 2 Pt 2.98

=====

(6)
A geometry-optimized KMg2Pt structure. Source: Alexandria, functional PBE.

Calculated values
Energy = -2.490 eV/atom
E_form = 0.09 eV/atom
Density = 5.12 Mg/m³
Space-group type = No. 123

Cell: 4.5407 4.5407 4.4517 Å, 90.00 90.00 90.00°
With the nearest neighbours (Å) after each atom.
Fractional coordinates of all 4 atoms:
K1 0.0000 0.0000 0.0000  8 Mg 3.18, 4 Pt 3.21
Mg1 0.0000 0.5000 0.5000  4 K 3.18, 4 Pt 3.18, 4 Mg 3.21
Mg2 0.5000 0.0000 0.5000  4 K 3.18, 4 Pt 3.18, 4 Mg 3.21
Pt1 0.5000 0.5000 0.0000  8 Mg 3.18, 4 K 3.21

=====

(7)
A geometry-optimized Mg2Ru structure. Source: Alexandria, functional PBE.

Calculated values
Energy = -4.008 eV/atom
E_form = 0.15 eV/atom
Density = 4.31 Mg/m³
Space-group type = No. 141

Cell: 12.3955 12.3955 12.3955 Å, 165.75 165.75 20.20°
With the nearest neighbours (Å) after each atom.
Fractional coordinates of all 6 atoms:
Mg1 0.3095 0.5595 0.7500  4 Ru 2.70
Mg2 0.4405 0.6905 0.7500  4 Ru 2.70
Mg3 0.5595 0.3095 0.2500  4 Ru 2.70
Mg4 0.6905 0.4405 0.2500  4 Ru 2.70
Ru1 0.1250 0.8750 0.2500  8 Mg 2.70
Ru2 0.8750 0.1250 0.7500  8 Mg 2.70

=====

(8)
A geometry-optimized Pa2Ge2Ir structure. Source: Alexandria, functional PBE.

Calculated values
Energy = -8.094 eV/atom
E_form = -0.68 eV/atom
Density = 12.77 Mg/m³
Space-group type = No. 12

Cell: 5.6561 5.6561 10.4883 Å, 115.01 115.01 44.13°
With the nearest neighbours (Å) after each atom.
Fractional coordinates of all 10 atoms:
Pa1 0.0045 0.0045 0.3260  7 Ge 2.98-3.31, 3 Ir 2.99-3.10
Pa2 0.1847 0.1847 0.1163  6 Ge 2.92-3.15, 2 Ir 2.96
Pa3 0.8153 0.8153 0.8837  6 Ge 2.92-3.15, 2 Ir 2.96
Pa4 0.9955 0.9955 0.6740  7 Ge 2.98-3.31, 3 Ir 2.99-3.10
Ge1 0.3562 0.3562 0.4475  3 Ir 2.56-2.83, 1 Ge 2.70
Ge2 0.4612 0.4612 0.1114  1 Ir 2.61, 1 Ge 2.80, 1 Pa 2.92
Ge3 0.5388 0.5388 0.8886  1 Ir 2.61, 1 Ge 2.80, 1 Pa 2.92
Ge4 0.6438 0.6438 0.5525  3 Ir 2.56-2.83, 1 Ge 2.70
Ir1 0.2808 0.2808 0.6742  4 Ge 2.56-2.83
Ir2 0.7192 0.7192 0.3258  4 Ge 2.56-2.83

=====

(9)
A geometry-optimized MnPb2 structure. Source: Alexandria, functional PBE.

Calculated values
Energy = -4.964 eV/atom
E_form = 0.56 eV/atom
Density = 9.56 Mg/m³
Space-group type = No. 191

Cell: 5.4429 5.4429 3.1761 Å, 90.00 90.00 120.00°
With the nearest neighbours (Å) after each atom.
Fractional coordinates of all 3 atoms:
Mn1 0.0000 0.0000 0.0000  2 Mn 3.18, 12 Pb 3.52
Pb1 0.3333 0.6667 0.5000  5 Pb 3.14-3.18
Pb2 0.6667 0.3333 0.5000  5 Pb 3.14-3.18

=====

(10)
A geometry-optimized LiHfB structure. Source: Alexandria, functional PBE.

Calculated values
Energy = -6.200 eV/atom
E_form = -0.02 eV/atom
Density = 7.50 Mg/m³
Space-group type = No. 1

Cell: 3.2710 5.2271 5.5412 Å, 74.05 73.10 89.96°
With the nearest neighbours (Å) after each atom.
Fractional coordinates of all 6 atoms:
Li1 0.0000 0.0000 0.0000  4 B 2.27-2.34, 1 Li 2.39
Li2 0.2155 0.3395 0.5859  2 B 2.36-2.37, 1 Li 2.39
Hf1 0.7215 0.8236 0.5662  4 B 2.38-2.41
Hf2 0.9332 0.4613 0.1405  4 B 2.44-2.50, 2 Li 2.70-2.72
B1 0.3626 0.0876 0.2806  1 B 1.77
B2 0.3746 0.7567 0.2567  1 B 1.77

=====

(11)
A geometry-optimized Pm2PrGe structure. Source: Alexandria, functional PBE.

Calculated values
Energy = -4.973 eV/atom
E_form = -0.25 eV/atom
Density = 6.22 Mg/m³
Space-group type = No. 160

Cell: 9.6490 9.6490 9.6490 Å, 24.36 24.36 24.36°
With the nearest neighbours (Å) after each atom.
Fractional coordinates of all 4 atoms:
Pm1 0.0000 0.0000 0.0000  3 Ge 2.92
Pm2 0.2109 0.2109 0.2109  3 Ge 2.90
Pr1 0.4404 0.4404 0.4404  6 Pm 3.74-3.82, 6 Pr 4.07
Ge1 0.6049 0.6049 0.6049  6 Pm 2.90-2.92

=====

(12)
A geometry-optimized SiTeBr2 structure. Source: Alexandria, functional PBE.

Calculated values
ΔE_f (raw) = 0.407 eV per atom
Energy = -2.571 eV/atom
Density = 5.45 Mg/m³
Space-group type = No. 216

Cell: 5.1404 5.1404 5.1404 Å, 60.00 60.00 60.00°
With the nearest neighbours (Å) after each atom.
Fractional coordinates of all 4 atoms:
Si1 0.0000 0.0000 0.0000  4 Br 3.15, 4 Te 3.15
Te1 0.7500 0.7500 0.7500  4 Si 3.15, 4 Br 3.15
Br1 0.2500 0.2500 0.2500  4 Br 3.15, 4 Si 3.15
Br2 0.5000 0.5000 0.5000  4 Te 3.15, 4 Br 3.15

=====

(13)
A geometry-optimized KRbTaOs2 structure. Source: Alexandria, functional PBE.

Calculated values
Energy = -3.659 eV/atom
E_form = 3.62 eV/atom
Density = 9.35 Mg/m³
Space-group type = No. 123

Cell: 4.9604 4.9604 4.9489 Å, 90.00 90.00 90.00°
With the nearest neighbours (Å) after each atom.
Fractional coordinates of all 5 atoms:
K1 0.0000 0.0000 0.0000  8 Os 3.50, 4 Ta 3.51
Rb1 0.5000 0.5000 0.5000  2 Ta 2.47, 4 Os 2.48
Ta1 0.5000 0.5000 0.0000  2 Rb 2.47
Os1 0.0000 0.5000 0.5000  2 Rb 2.48
Os2 0.5000 0.0000 0.5000  2 Rb 2.48